# PBE YSiPb3, optimized geometry
# E_form (uncorrected) in eV/atom: 0.909
# Relative energy among the computed polymorphs in meV per atom: 507
# Theoretical density in Mg/m³: 6.2
# Total energy in eV/atom: -3.693
data_YSiPb3
_cell_length_a 5.8200
_cell_length_b 5.8200
_cell_length_c 5.8200
_cell_angle_alpha 90.00
_cell_angle_beta 90.00
_cell_angle_gamma 90.00
_space_group_name_H-M_alt 'P m -3 m'
_space_group_IT_number 221
_space_group_name_Hall '-P 4 2 3'
loop_
_atom_site_label
_atom_site_fract_x
_atom_site_fract_y
_atom_site_fract_z
Y1 0.0000 0.0000 0.0000
Si1 0.5000 0.5000 0.5000
Pb1 0.0000 0.0000 0.5000